Record 1
The following is a PBE-GGA calculation of a relaxed La2CoRh crystal, from the Alexandria database.

Cell: 6.693 6.693 6.693 Å, 148.15 144.27 48.61°
Fractional positions:
La (0.741, 0.241, 0.500)
La (0.015, 0.015, 0.000)
Co (0.296, 0.796, 0.500)
Rh (0.448, 0.448, 0.000)

Summary:
VASP energy ... -6.336 eV per atom
Formation enthalpy at 0 K ... -0.258 eV per atom
Relative energy among the computed polymorphs ... 0.54 eV/f.u.
Space group ... Imm2

Record 2
The following is a PBE-GGA calculation of a relaxed CsTcIr2Se crystal, from the Alexandria database.

Cell: 4.583 5.986 4.583 Å, 90.00 90.00 90.00°
Last column: magnetic moment on the atom in μB.
Fractional positions:
Cs (0.000, 0.500, 0.000)  0.03
Se (0.000, 0.000, 0.000)  -0.04
Ir (0.000, 0.000, 0.500)  -0.08
Ir (0.500, 0.000, 0.000)  -0.17
Tc (0.500, 0.500, 0.500)  3.24

Summary:
VASP energy ... -4.699 eV per atom
Energy relative to the elements, uncorrected ... 172.4 kJ per mole of atoms
Space group ... P4/mmm

Record 3
The following is a PBE-GGA calculation of a relaxed Cd2NiAg crystal, from the Alexandria database.

Cell: 5.122 5.122 5.122 Å, 133.31 133.31 68.17°
Fractional positions:
Cd (0.250, 0.750, 0.500)
Cd (0.000, 0.000, 0.000)
Ni (0.500, 0.500, 0.000)
Ag (0.750, 0.250, 0.500)

Summary:
VASP energy ... -2.533 eV per atom
Formation enthalpy at 0 K ... 0.083 eV per atom
Space group ... I-4m2

Record 4
The following is a PBE-GGA calculation of a relaxed Pm5Tl2Bi crystal, from the Alexandria database.

Cell: 8.721 8.721 9.052 Å, 118.80 118.80 90.00°
Fractional positions:
Tl (0.145, 0.355, 0.000)
Tl (0.855, 0.645, 0.000)
Tl (0.355, 0.855, 0.000)
Tl (0.645, 0.145, 0.000)
Pm (0.305, 0.805, 0.299)
Pm (0.000, 0.000, 0.000)
Pm (0.695, 0.195, 0.701)
Pm (0.805, 0.995, 0.299)
Pm (0.495, 0.305, 0.299)
Pm (0.195, 0.005, 0.701)
Pm (0.500, 0.500, 0.000)
Pm (0.505, 0.695, 0.701)
Pm (0.995, 0.495, 0.299)
Pm (0.005, 0.505, 0.701)
Bi (0.250, 0.250, 0.500)
Bi (0.750, 0.750, 0.500)

Summary:
VASP energy ... -4.483 eV per atom
Formation enthalpy at 0 K ... -0.437 eV per atom
Space group ... I4/mcm

Record 5
The following is a PBE-GGA calculation of a relaxed ZrTlAu2 crystal, from the Alexandria database.

Cell: 3.445 3.437 7.052 Å, 90.00 90.00 90.00°
Fractional positions:
Au (0.000, 0.000, 0.002)
Au (0.500, 0.500, 0.229)
Tl (0.000, 0.000, 0.489)
Zr (0.500, 0.500, 0.780)

Summary:
VASP energy ... -4.524 eV per atom
Formation enthalpy at 0 K ... -0.157 eV per atom
Space group ... P4mm

Record 6
The following is a PBE-GGA calculation of a relaxed BaTlReO6 crystal, from the Alexandria database.

Cell: 5.858 5.859 5.500 Å, 91.94 88.07 57.07°
Fractional positions:
Ba (0.016, 0.016, 0.000)
O (0.366, 0.027, 0.685)
O (0.068, 0.560, 0.733)
O (0.560, 0.068, 0.267)
O (0.321, 0.615, 0.318)
O (0.027, 0.366, 0.315)
O (0.615, 0.321, 0.682)
Tl (0.679, 0.679, 0.500)
Re (0.349, 0.349, 0.500)

Summary:
VASP energy ... -6.805 eV per atom
Energy relative to the elements, uncorrected ... -158.2 kJ per mole of atoms
Space group ... C2

Record 7
The following is a PBE-GGA calculation of a relaxed Ti2Ge2Pb crystal, from the Alexandria database.

Cell: 8.146 8.146 2.936 Å, 90.00 90.00 90.00°
Last column: magnetic moment on the atom in μB.
Fractional positions:
Ge (0.160, 0.340, 0.000)  -0.01
Ge (0.340, 0.840, 0.000)  -0.01
Ge (0.660, 0.160, 0.000)  -0.01
Ge (0.840, 0.660, 0.000)  -0.01
Ti (0.372, 0.128, 0.500)  0.30
Ti (0.872, 0.372, 0.500)  0.29
Ti (0.628, 0.872, 0.500)  0.30
Ti (0.128, 0.628, 0.500)  0.29
Pb (0.500, 0.500, 0.000)  0.00
Pb (0.000, 0.000, 0.000)  0.00

Summary:
VASP energy ... -5.880 eV per atom
Formation enthalpy at 0 K ... -0.133 eV per atom
Relative energy among the computed polymorphs ... 0.09 eV/f.u.
Space group ... P4/mbm

Record 8
The following is a PBE-GGA calculation of a relaxed Tb6Tm2Tl crystal, from the Alexandria database.

Cell: 4.880 10.607 10.608 Å, 90.00 90.00 90.00°
Fractional positions:
Tb (0.000, 0.665, 0.499)
Tb (0.000, 0.001, 0.835)
Tb (0.500, 0.501, 0.665)
Tb (0.000, 0.661, 0.839)
Tb (0.500, 0.839, 0.339)
Tb (0.500, 0.499, 0.335)
Tb (0.500, 0.835, 0.999)
Tb (0.000, 0.339, 0.161)
Tb (0.000, 0.335, 0.501)
Tb (0.500, 0.165, 0.001)
Tb (0.500, 0.161, 0.661)
Tb (0.000, 0.999, 0.165)
Tm (0.500, 0.163, 0.337)
Tm (0.000, 0.337, 0.837)
Tm (0.500, 0.837, 0.663)
Tm (0.000, 0.663, 0.163)
Tl (0.000, 0.000, 0.500)
Tl (0.500, 0.500, 0.000)

Summary:
VASP energy ... -4.383 eV per atom
Formation enthalpy at 0 K ... -0.040 eV per atom
Relative energy among the computed polymorphs ... 0.00 eV/f.u.
Space group ... P4_2/mnm

Fermi-level density of states: 3.7 8.3 2.2 18.7 1.8 0.0 8.4 27.2 (states/eV per cell)